No. 1
A plane-wave DFT calculation with PBE was carried out for crystalline BaErTcN3 at its relaxed geometry.

Geometry as POSCAR:
```
BaErTcN3
1.0
-3.2396 1.0529 -1.0460
-1.0928 -8.0225 -4.6906
-2.3821 -0.9735 6.3975
Ba Er Tc N
2 2 2 6
Direct
0.2500 0.2963 0.3080
0.7500 0.7037 0.6920
0.2500 0.6364 0.1485
0.7500 0.3636 0.8515
0.2500 0.0793 0.6318
0.7500 0.9207 0.3682
0.7500 0.8113 0.1071
0.2500 0.1887 0.8929
0.2500 0.8525 0.4715
0.7500 0.1475 0.5285
0.7500 0.4887 0.1954
0.2500 0.5113 0.8046
```

## Properties
Formation energy from raw total energies, eV/atom: -0.734
Volume, Å³/f.u.: 109.53
N(E_F), states/eV/f.u.: 2.43
Size of the total moment, μB/cell: 0.00

No. 2
A plane-wave DFT calculation with PBE was carried out for crystalline Ba2ErTc2N6 at its relaxed geometry.

Geometry as POSCAR:
```
Ba2ErTc2N6
1.0
-5.3324 2.1852 2.0856
3.0247 -4.3195 3.2548
2.6815 6.6837 -0.1470
Ba Er Tc N
2 1 2 6
Direct
0.7168 0.4337 0.1939
0.2832 0.5663 0.8061
0.5000 0.0000 0.5000
0.9580 0.9161 0.7949
0.0420 0.0839 0.2051
0.7605 0.5210 0.6505
0.2009 0.9166 0.2346
0.2843 0.0834 0.7654
0.7991 0.0834 0.7654
0.7157 0.9166 0.2346
0.2395 0.4790 0.3495
```

## Properties
Formation energy from raw total energies, eV/atom: -0.679
Volume, Å³/f.u.: 198.98
N(E_F), states/eV/f.u.: 3.48
Size of the total moment, μB/cell: 0.00

No. 3
A plane-wave DFT calculation with PBE was carried out for crystalline Ba3ErW2N6 at its relaxed geometry.

Geometry as POSCAR:
```
Ba3ErW2N6
1.0
6.2376 0.0000 0.0000
-3.1188 5.4019 0.0000
0.0000 0.0000 7.4319
Ba Er W N
3 1 2 6
Direct
0.3333 0.6667 0.6813
0.6667 0.3333 0.3187
0.0000 0.0000 0.0000
0.0000 0.0000 0.5000
0.6667 0.3333 0.7750
0.3333 0.6667 0.2250
0.6578 0.8289 0.3015
0.1711 0.3422 0.3015
0.1711 0.8289 0.3015
0.8289 0.6578 0.6985
0.3422 0.1711 0.6985
0.8289 0.1711 0.6985
```

## Properties
Formation energy from raw total energies, eV/atom: -0.877
Volume, Å³/f.u.: 250.42
N(E_F), states/eV/f.u.: 3.88
Size of the total moment, μB/cell: 0.00

No. 4
A plane-wave DFT calculation with PBE was carried out for crystalline Ba2ErW2N6 at its relaxed geometry.

Geometry as POSCAR:
```
Ba2ErW2N6
1.0
6.2223 0.0000 0.0000
-3.1112 5.4377 -0.3689
0.0000 -3.5328 6.3733
Ba Er W N
2 1 2 6
Direct
0.7125 0.4250 0.1864
0.2875 0.5750 0.8136
0.5000 0.0000 0.5000
0.9551 0.9102 0.7840
0.0449 0.0898 0.2160
0.7538 0.5077 0.6326
0.2035 0.9149 0.2339
0.2886 0.0851 0.7661
0.7965 0.0851 0.7661
0.7114 0.9149 0.2339
0.2462 0.4923 0.3674
```

## Properties
Formation energy from raw total energies, eV/atom: -0.762
Volume, Å³/f.u.: 207.54
N(E_F), states/eV/f.u.: 5.11
Size of the total moment, μB/cell: 1.04

No. 5
A plane-wave DFT calculation with PBE was carried out for crystalline BaErZnN2 at its relaxed geometry.

Geometry as POSCAR:
```
BaErZnN2
1.0
-0.1830 4.7778 -2.5710
-3.4884 -2.4779 -4.3566
-5.2776 1.7406 3.6103
Ba Er Zn N
2 2 2 4
Direct
0.1198 0.5000 0.7500
0.8802 0.5000 0.2500
0.4800 0.0000 0.2500
0.5200 0.0000 0.7500
0.0000 0.0000 0.0000
0.0000 0.0000 0.5000
0.7154 0.8218 0.0041
0.7154 0.1782 0.4959
0.2846 0.8218 0.5041
0.2846 0.1782 0.9959
```

## Properties
Formation energy from raw total energies, eV/atom: -0.566
Volume, Å³/f.u.: 109.75
N(E_F), states/eV/f.u.: 2.28
Size of the total moment, μB/cell: 0.00

No. 6
A plane-wave DFT calculation with PBE was carried out for crystalline BaNa2Er at its relaxed geometry.

Geometry as POSCAR:
```
BaNa2Er
1.0
-0.6178 -1.4267 -3.3115
0.7795 -3.5143 -0.6520
-12.6692 -5.1928 2.5799
Na Ba Er
2 1 1
Direct
0.0832 0.0832 0.7503
0.9168 0.9168 0.2497
0.5000 0.5000 0.5000
0.0000 0.0000 0.0000
```

## Properties
Calculated formation energy, meV/atom: 375
Volume, Å³/f.u.: 159.62
N(E_F), states/eV/f.u.: 4.92
Size of the total moment, μB/cell: 0.00

No. 7
A plane-wave DFT calculation with PBE was carried out for crystalline Ba2NaErSe4 at its relaxed geometry.

Geometry as POSCAR:
```
Ba2NaErSe4
1.0
-2.0037 3.6379 -1.5527
-0.0609 -3.0562 -7.0819
-6.4307 -2.0075 3.5948
Ba Na Er Se
2 1 1 4
Direct
0.5000 0.0000 0.5000
0.0000 0.5000 0.5000
0.5000 0.5000 0.0000
0.0000 0.0000 0.0000
0.5000 0.2276 0.2139
0.5000 0.7724 0.7861
0.0000 0.2410 0.7798
0.0000 0.7590 0.2202
```

## Properties
Formation energy from raw total energies, eV/atom: -1.785
Volume, Å³/f.u.: 247.30
Size of the total moment, μB/cell: 0.00

No. 8
A plane-wave DFT calculation with PBE was carried out for crystalline BaNaErSe3 at its relaxed geometry.

Geometry as POSCAR:
```
BaNaErSe3
1.0
4.3618 0.0000 0.0000
0.0000 8.7757 -0.2242
0.0000 -2.5411 9.2634
Ba Na Er Se
2 2 2 6
Direct
0.2500 0.2193 0.2472
0.7500 0.7807 0.7528
0.2500 0.0907 0.5874
0.7500 0.9093 0.4126
0.2500 0.6755 0.1530
0.7500 0.3245 0.8470
0.7500 0.8876 0.1238
0.2500 0.1124 0.8762
0.2500 0.7447 0.4689
0.7500 0.2553 0.5311
0.7500 0.4567 0.1535
0.2500 0.5433 0.8465
```

## Properties
Formation energy from raw total energies, eV/atom: -1.672
Volume, Å³/f.u.: 176.05
N(E_F), states/eV/f.u.: 0.00
Size of the total moment, μB/cell: 0.00

No. 9
A plane-wave DFT calculation with PBE was carried out for crystalline BaNaErTe3 at its relaxed geometry.

Geometry as POSCAR:
```
BaNaErTe3
1.0
-4.0262 -1.7011 1.5522
4.1718 -2.7850 7.7689
-3.3737 9.5858 1.7543
Ba Na Er Te
2 2 2 6
Direct
0.2500 0.2169 0.2500
0.7500 0.7831 0.7500
0.2500 0.0893 0.5886
0.7500 0.9107 0.4114
0.2500 0.6774 0.1551
0.7500 0.3226 0.8449
0.7500 0.8943 0.1218
0.2500 0.1057 0.8782
0.2500 0.7360 0.4697
0.7500 0.2640 0.5303
0.7500 0.4530 0.1530
0.2500 0.5470 0.8470
```

## Properties
Formation energy from raw total energies, eV/atom: -1.353
Volume, Å³/f.u.: 212.01
Size of the total moment, μB/cell: 0.00

No. 10
A plane-wave DFT calculation with PBE was carried out for crystalline BaNaErTl at its relaxed geometry.

Geometry as POSCAR:
```
BaNaErTl
1.0
5.7844 0.0000 0.0000
2.8922 5.0095 0.0000
2.8922 1.6698 4.7230
Na Tl Ba Er
1 1 1 1
Direct
0.5000 0.5000 0.5000
0.0000 0.0000 0.0000
0.7500 0.7500 0.7500
0.2500 0.2500 0.2500
```

## Properties
Calculated formation energy, meV/atom: -5
Volume, Å³/f.u.: 136.86
N(E_F), states/eV/f.u.: 4.43
Size of the total moment, μB/cell: 0.00

No. 11
A plane-wave DFT calculation with PBE was carried out for crystalline Ba4ErNb3O12 at its relaxed geometry.

Geometry as POSCAR:
```
Ba4ErNb3O12
1.0
7.2866 0.0000 0.0000
-2.4289 6.8699 0.0000
-2.4289 -3.4349 5.9495
Ba Er Nb O
4 1 3 12
Direct
0.5000 0.5000 0.5000
0.0000 0.0000 0.5000
0.5000 0.0000 0.0000
0.0000 0.5000 0.0000
0.0000 0.0000 0.0000
0.5000 0.0000 0.5000
0.5000 0.5000 0.0000
0.0000 0.5000 0.5000
0.2500 0.5000 0.7500
0.7383 0.0000 0.7383
0.2617 0.0000 0.2617
0.7500 0.5000 0.2500
0.7383 0.7383 0.0000
0.2617 0.2617 0.0000
0.7500 0.2500 0.5000
0.2500 0.7500 0.5000
0.5000 0.2500 0.7500
0.0000 0.7383 0.7383
0.5000 0.7500 0.2500
0.0000 0.2617 0.2617
```

## Properties
Formation energy from raw total energies, eV/atom: -2.891
Volume, Å³/f.u.: 297.82
N(E_F), states/eV/f.u.: 6.90
Size of the total moment, μB/cell: 0.11

No. 12
A plane-wave DFT calculation with PBE was carried out for crystalline Ba3ErNb2O9 at its relaxed geometry.

Geometry as POSCAR:
```
Ba3ErNb2O9
1.0
-5.2879 0.2202 -2.7701
4.4692 -3.1958 -2.3445
-2.2202 -5.8714 3.7713
Ba Er Nb O
3 1 2 9
Direct
0.3333 0.6667 0.6692
0.0000 0.0000 0.0000
0.6667 0.3333 0.3308
0.0000 0.0000 0.5000
0.3333 0.6667 0.1650
0.6667 0.3333 0.8350
0.8262 0.1738 0.6787
0.8262 0.6524 0.6787
0.3476 0.1738 0.6787
0.6524 0.8262 0.3213
0.1738 0.3476 0.3213
0.1738 0.8262 0.3213
0.5000 0.0000 0.0000
0.0000 0.5000 0.0000
0.5000 0.5000 0.0000
```

## Properties
Formation energy from raw total energies, eV/atom: -2.953
Volume, Å³/f.u.: 226.30
N(E_F), states/eV/f.u.: 3.86
Size of the total moment, μB/cell: 0.00

No. 13
A plane-wave DFT calculation with PBE was carried out for crystalline BaNdEr at its relaxed geometry.

Geometry as POSCAR:
```
BaNdEr
1.0
-2.2867 1.7873 2.4746
1.5550 -1.9786 2.8660
6.0419 5.9889 -1.6815
Nd Ba Er
1 1 1
Direct
0.3176 0.3176 0.6352
0.0012 0.0012 0.0024
0.6812 0.6812 0.3624
```

## Properties
Offset from the most stable computed form, eV per atom: 0.000
Calculated formation energy, meV/atom: 169
Volume, Å³/f.u.: 119.89
N(E_F), states/eV/f.u.: 5.15
Size of the total moment, μB/cell: 0.00

No. 14
A plane-wave DFT calculation with PBE was carried out for crystalline BaNdEr2 at its relaxed geometry.

Geometry as POSCAR:
```
BaNdEr2
1.0
-3.2518 -1.2522 0.9872
-0.5822 -3.5691 0.1984
2.4370 -1.5271 12.7337
Nd Ba Er
1 1 2
Direct
0.5000 0.5000 0.5000
0.0000 0.0000 0.0000
0.0931 0.0931 0.7206
0.9069 0.9069 0.2794
```

## Properties
Offset from the most stable computed form, eV per atom: 0.075
Calculated formation energy, meV/atom: 241
Volume, Å³/f.u.: 146.37
N(E_F), states/eV/f.u.: 6.15
Size of the total moment, μB/cell: 0.04

No. 15
A plane-wave DFT calculation with PBE was carried out for crystalline BaNdEr2 at its relaxed geometry.

Geometry as POSCAR:
```
BaNdEr2
1.0
3.7195 0.0000 0.0000
0.0000 3.7195 0.0000
0.0000 0.0000 10.7597
Nd Ba Er
1 1 2
Direct
0.5000 0.5000 0.0000
0.5000 0.5000 0.5000
0.0000 0.0000 0.7804
0.0000 0.0000 0.2196
```

## Properties
Offset from the most stable computed form, eV per atom: 0.000
Calculated formation energy, meV/atom: 166
Volume, Å³/f.u.: 148.86
N(E_F), states/eV/f.u.: 6.13
Size of the total moment, μB/cell: 0.00

No. 16
A plane-wave DFT calculation with PBE was carried out for crystalline BaNdEr at its relaxed geometry.

Geometry as POSCAR:
```
BaNdEr
1.0
3.7962 0.0000 0.0000
-1.8981 3.2876 0.0000
0.0000 0.0000 9.4369
Nd Ba Er
1 1 1
Direct
0.3333 0.6667 0.6426
0.0000 0.0000 0.0052
0.6667 0.3333 0.3522
```

## Properties
Offset from the most stable computed form, eV per atom: 0.012
Calculated formation energy, meV/atom: 181
Volume, Å³/f.u.: 117.77
N(E_F), states/eV/f.u.: 5.47
Size of the total moment, μB/cell: 0.00

No. 17
A plane-wave DFT calculation with PBE was carried out for crystalline BaNdEr4S8 at its relaxed geometry.

Geometry as POSCAR:
```
BaNdEr4S8
1.0
-0.1172 3.1455 7.5530
-0.1422 -4.9690 6.4996
6.7315 -0.6446 4.8053
Ba Nd Er S
1 1 4 8
Direct
0.3725 0.3725 0.8825
0.0019 0.0019 0.9944
0.6252 0.6252 0.1244
0.0017 0.4949 0.5017
0.4949 0.0017 0.5017
0.0017 0.0017 0.5017
0.2390 0.8024 0.7196
0.8024 0.2390 0.7196
0.2390 0.2390 0.7196
0.2308 0.2308 0.3075
0.7506 0.2325 0.2663
0.2325 0.7506 0.2663
0.7506 0.7506 0.2663
0.7572 0.7572 0.7285
```

## Properties
Formation energy from raw total energies, eV/atom: -1.951
Volume, Å³/f.u.: 395.41
N(E_F), states/eV/f.u.: 3.72
Size of the total moment, μB/cell: 0.00

No. 18
A plane-wave DFT calculation with PBE was carried out for crystalline Ba3NdEr3Se8 at its relaxed geometry.

Geometry as POSCAR:
```
Ba3NdEr3Se8
1.0
-5.4160 -5.5195 3.3492
7.2903 1.6442 3.8968
-6.3496 6.2953 0.1067
Ba Nd Er Se
3 1 3 8
Direct
0.0000 0.0000 0.0000
0.0000 0.5000 0.0000
0.5000 0.5000 0.0000
0.0000 0.0000 0.5000
0.5000 0.0000 0.5000
0.5000 0.5000 0.5000
0.0000 0.5000 0.5000
0.2633 0.5266 0.2898
0.7367 0.4734 0.7102
0.7555 0.5111 0.2859
0.2445 0.4889 0.7141
0.7555 0.0303 0.2860
0.2445 0.9697 0.7140
0.2748 0.0303 0.2860
0.7252 0.9697 0.7140
```

## Properties
Formation energy from raw total energies, eV/atom: -1.908
Volume, Å³/f.u.: 461.46
N(E_F), states/eV/f.u.: 3.58
Size of the total moment, μB/cell: 0.00

No. 19
A plane-wave DFT calculation with PBE was carried out for crystalline Ba3NdEr3Te8 at its relaxed geometry.

Geometry as POSCAR:
```
Ba3NdEr3Te8
1.0
-1.6447 2.6364 -8.4405
5.5391 -6.9077 1.5528
-9.2976 -1.2923 1.4092
Ba Nd Er Te
3 1 3 8
Direct
0.0000 0.0000 0.0000
0.0000 0.5000 0.0000
0.5000 0.5000 0.0000
0.0000 0.0000 0.5000
0.5000 0.0000 0.5000
0.5000 0.5000 0.5000
0.0000 0.5000 0.5000
0.2622 0.5245 0.2867
0.7378 0.4755 0.7133
0.7530 0.5061 0.2806
0.2470 0.4939 0.7194
0.7529 0.0276 0.2805
0.2471 0.9724 0.7195
0.2745 0.0276 0.2806
0.7255 0.9724 0.7194
```

## Properties
Formation energy from raw total energies, eV/atom: -1.520
Volume, Å³/f.u.: 556.57
N(E_F), states/eV/f.u.: 4.39
Size of the total moment, μB/cell: 0.00

No. 20
A plane-wave DFT calculation with PBE was carried out for crystalline Ba2ErNi9 at its relaxed geometry.

Geometry as POSCAR:
```
Ba2ErNi9
1.0
5.0639 0.0000 0.0000
2.5319 4.3854 0.0000
2.5319 1.4618 8.7264
Ba Er Ni
2 1 9
Direct
0.8621 0.8621 0.4137
0.1379 0.1379 0.5863
0.0000 0.0000 0.0000
0.6676 0.6676 0.9971
0.3324 0.3324 0.0029
0.5000 0.5000 0.5000
0.4284 0.4284 0.2199
0.9233 0.4284 0.2199
0.4284 0.9233 0.2199
0.5716 0.5716 0.7801
0.5716 0.0767 0.7801
0.0767 0.5716 0.7801
```

## Properties
Calculated formation energy, meV/atom: -41
Volume, Å³/f.u.: 193.79
N(E_F), states/eV/f.u.: 11.08
Size of the total moment, μB/cell: 2.36

No. 21
A plane-wave DFT calculation with PBE was carried out for crystalline BaEr3Ni at its relaxed geometry.

Geometry as POSCAR:
```
BaEr3Ni
1.0
-5.1897 -0.5846 -1.4704
-1.3767 -0.8170 5.1840
-0.7800 5.3317 0.6331
Ni Ba Er
1 1 3
Direct
0.0000 0.0000 0.0000
0.5000 0.5000 0.5000
0.0000 0.5000 0.0000
0.0000 0.0000 0.5000
0.5000 0.0000 0.0000
```

## Properties
Calculated formation energy, meV/atom: -47
Volume, Å³/f.u.: 159.71
N(E_F), states/eV/f.u.: 7.35
Size of the total moment, μB/cell: 0.00

No. 22
A plane-wave DFT calculation with PBE was carried out for crystalline BaEr2Ni at its relaxed geometry.

Geometry as POSCAR:
```
BaEr2Ni
1.0
-0.4085 -3.2011 -2.2381
2.8001 -2.7535 -0.0183
-4.0164 -6.9328 7.2032
Ni Ba Er
1 1 2
Direct
0.5000 0.5000 0.5000
0.0000 0.0000 0.0000
0.1221 0.1221 0.6336
0.8779 0.8779 0.3664
```

## Properties
Calculated formation energy, meV/atom: 10
Volume, Å³/f.u.: 140.68
N(E_F), states/eV/f.u.: 4.28
Size of the total moment, μB/cell: 0.00